Crystalline Sr3Ga9Pt2 at its relaxed geometry, computed with PBE.

Unit cell a=4.405 b=8.541 c=8.541 alpha=74.95 beta=75.06 gamma=75.06
Element x y z (fractional)
Ga 0.879 0.840 0.402
Ga 0.673 0.964 0.691
Ga 0.121 0.598 0.160
Pt 0.500 0.262 0.738
Ga 0.327 0.036 0.309
Pt 0.500 0.738 0.262
Ga 0.000 0.500 0.500
Ga 0.121 0.160 0.598
Sr 0.319 0.681 0.681
Ga 0.327 0.309 0.036
Ga 0.673 0.691 0.964
Sr 0.000 0.000 0.000
Sr 0.681 0.319 0.319
Ga 0.879 0.402 0.840

- Density: 7.2 g/cm3
- Energy relative to the elements: -0.56 eV/atom
- Density of states at the Fermi level: 4.39 states/eV/cell
- Total magnetization: 0.00 μB/atom